(1)
Density functional theory data (GGA-PBE) for a relaxed structure of SrSn5Pd2.

POSCAR file:
```
SrSn5Pd2
1.0
4.4744 0.0000 0.0000
2.2372 6.9167 0.4095
2.2372 1.6733 6.7238
Sr Sn Pd
1 5 2
direct
0.0000 0.0000 0.0000 Sr
0.0000 0.5000 0.5000 Sn
0.3475 0.8498 0.4552 Sn
0.3475 0.4552 0.8498 Sn
0.6525 0.5448 0.1502 Sn
0.6525 0.1502 0.5448 Sn
0.2460 0.2540 0.2540 Pd
0.7540 0.7460 0.7460 Pd
```

=====

(2)
Density functional theory data (GGA-PBE) for a relaxed structure of ErTm3Pd12.

POSCAR file:
```
ErTm3Pd12
1.0
4.0914 0.0000 0.0000
0.0000 4.0914 0.0000
0.0000 0.0000 16.4293
Pd Tm Er
12 3 1
direct
0.5000 0.5000 0.7498 Pd
0.0000 0.5000 0.6249 Pd
0.5000 0.0000 0.6249 Pd
0.5000 0.5000 0.5000 Pd
0.5000 0.0000 0.8745 Pd
0.5000 0.0000 0.1255 Pd
0.5000 0.5000 0.2502 Pd
0.0000 0.5000 0.8745 Pd
0.0000 0.5000 0.1255 Pd
0.0000 0.5000 0.3751 Pd
0.5000 0.5000 0.0000 Pd
0.5000 0.0000 0.3751 Pd
0.0000 0.0000 0.5000 Tm
0.0000 0.0000 0.7496 Tm
0.0000 0.0000 0.2504 Tm
0.0000 0.0000 0.0000 Er
```

=====

(3)
Density functional theory data (GGA-PBE) for a relaxed structure of HoAl2H6.

POSCAR file:
```
HoAl2H6
1.0
-3.4787 3.1795 1.8592
-2.6953 -1.3026 4.0873
0.8111 2.3391 4.4202
H Al Ho
6 2 1
direct
0.7152 0.7152 0.2848 H
0.7152 0.2848 0.7152 H
0.2848 0.7152 0.7152 H
0.7152 0.2848 0.2848 H
0.2848 0.7152 0.2848 H
0.2848 0.2848 0.7152 H
0.2500 0.2500 0.2500 Al
0.7500 0.7500 0.7500 Al
0.0000 0.0000 0.0000 Ho
```

=====

Calculated electronic total energy, -4.407 -5.927 -3.115 eV per atom (same order as the records).
Calculated density, 7.2 11.8 4.1 g cm⁻³ (same order as the records).